No. 1
{"formula": "LiY2ZnO", "functional": "GGA-PBE", "state": "relaxed", "lattice": [[4.814, 0.000, 0.000], [0.000, 4.814, 0.000], [0.000, 0.000, 3.938]], "species": ["O", "Li", "Y", "Y", "Zn"], "frac_coords": [[0.000, 0.000, 0.000], [0.000, 0.000, 0.500], [0.500, 0.000, 0.000], [0.000, 0.500, 0.000], [0.500, 0.500, 0.500]], "space_group": "P4/mmm, No. 123", "dos_ef_per_ev_cell": 3.92, "e_form_raw_ev_per_atom": -1.29}

No. 2
{"formula": "Zr2CdMo", "functional": "GGA-PBE", "state": "relaxed", "lattice": [[10.698, -0.026, -0.015], [10.287, 2.937, -0.015], [10.287, 1.427, 2.567]], "species": ["Zr", "Zr", "Mo", "Cd"], "frac_coords": [[0.497, 0.497, 0.497], [0.003, 0.003, 0.003], [0.750, 0.750, 0.750], [0.250, 0.250, 0.250]], "space_group": "R-3m, No. 166", "ef_kcal_per_mol_atoms": 5.6, "dos_ef_per_ev_cell": 7.00}

No. 3
{"formula": "NbNiC2", "functional": "GGA-PBE", "state": "relaxed", "lattice": [[0.000, 2.683, 2.683], [2.683, 0.000, 2.683], [2.683, 2.683, 0.000]], "species": ["C", "C", "Ni", "Nb"], "frac_coords": [[0.250, 0.250, 0.250], [0.750, 0.750, 0.750], [0.000, 0.000, 0.000], [0.500, 0.500, 0.500]], "polymorph_energy_ev_per_atom": 0.2867, "space_group": "Fm-3m, No. 225", "ef_kcal_per_mol_atoms": 20.5, "dos_ef_per_ev_cell": 2.10}

No. 4
{"formula": "RbLiInCl6", "functional": "GGA-PBE", "state": "relaxed", "lattice": [[6.593, 0.051, 0.007], [3.341, 5.690, -0.008], [0.008, -0.016, 7.561]], "species": ["Cl", "Cl", "Cl", "Cl", "Cl", "Cl", "Li", "Rb", "In"], "frac_coords": [[0.627, 0.377, 0.699], [0.001, 0.371, 0.301], [0.376, 0.627, 0.301], [0.630, 0.994, 0.301], [0.994, 0.630, 0.699], [0.371, 0.001, 0.699], [0.336, 0.335, 0.500], [0.000, 0.000, 0.000], [0.665, 0.666, 0.500]], "space_group": "C2, No. 5", "dos_ef_per_ev_cell": 11.97, "e_form_raw_ev_per_atom": -1.24}

No. 5
{"formula": "NaIrSe2N", "functional": "GGA-PBE", "state": "relaxed", "lattice": [[5.318, 0.000, 0.000], [0.000, 5.318, 0.000], [0.000, 0.000, 3.643]], "species": ["N", "Se", "Se", "Ir", "Na"], "frac_coords": [[0.000, 0.000, 0.500], [0.500, 0.000, 0.000], [0.000, 0.500, 0.000], [0.000, 0.000, 0.000], [0.500, 0.500, 0.500]], "polymorph_energy_ev_per_atom": 0.0000, "space_group": "P4/mmm, No. 123", "dos_ef_per_ev_cell": 3.17, "e_form_raw_ev_per_atom": 0.04}

No. 6
{"formula": "FeC2Cl", "functional": "GGA-PBE", "state": "relaxed", "lattice": [[0.000, 2.696, 2.696], [2.696, 0.000, 2.696], [2.696, 2.696, 0.000]], "species": ["C", "C", "Cl", "Fe"], "frac_coords": [[0.750, 0.750, 0.750], [0.250, 0.250, 0.250], [0.000, 0.000, 0.000], [0.500, 0.500, 0.500]], "polymorph_energy_ev_per_atom": 1.4623, "space_group": "Fm-3m, No. 225", "dos_ef_per_ev_cell": 6.37, "e_form_raw_ev_per_atom": 2.90}